(1)
Density functional theory data (PBE) for crystalline NaSrNdIn at its relaxed geometry.

Structure (extended XYZ):
```
4
Lattice="0.0000 4.0448 4.0448 4.0448 0.0000 4.0448 4.0448 4.0448 0.0000" Properties=species:S:1:pos:R:3 pbc="T T T"
Na 0.0000 0.0000 0.0000
Sr 6.0672 6.0672 6.0672
Nd 2.0224 2.0224 2.0224
In 4.0448 4.0448 4.0448
```

M_tot: 0.00 μB per cell
ΔE_f: -0.153 eV/atom

(2)
Density functional theory data (PBE) for crystalline LiCaTa at its relaxed geometry.

Structure (extended XYZ):
```
6
Lattice="3.5962 0.0000 0.0000 0.0000 3.5962 0.0000 0.0000 0.0000 11.5341" Properties=species:S:1:pos:R:3 pbc="T T T"
Li 0.8990 0.8990 0.7260
Li 2.6971 2.6971 10.8081
Ca 0.8990 0.8990 8.4932
Ca 2.6971 2.6971 3.0409
Ta 0.8990 0.8990 5.2482
Ta 2.6971 2.6971 6.2859
```

E above lowest polymorph: 0.0 meV/atom
M_tot: 0.00 μB per cell
ΔE_f: 0.244 eV/atom

(3)
Density functional theory data (PBE) for crystalline La2PH2 at its relaxed geometry.

Structure (extended XYZ):
```
5
Lattice="-1.8947 1.8947 6.3241 1.8947 -1.8947 6.3241 1.8947 1.8947 -6.3241" Properties=species:S:1:pos:R:3 pbc="T T T"
La 0.0000 0.0000 1.6519
La 0.0000 0.0000 10.9963
P 0.0000 0.0000 6.3241
H 1.8947 0.0000 3.1620
H 0.0000 1.8947 3.1620
```

electronic total energy: -5.317 eV per atom
M_tot: 0.00 μB per cell

(4)
Density functional theory data (PBE) for crystalline LiPmPaPt at its relaxed geometry.

Structure (extended XYZ):
```
4
Lattice="0.0000 3.5600 3.5600 3.5600 0.0000 3.5600 3.5600 3.5600 0.0000" Properties=species:S:1:pos:R:3 pbc="T T T"
Li 0.0000 0.0000 0.0000
Pm 1.7800 1.7800 1.7800
Pa 5.3400 5.3400 5.3400
Pt 3.5600 3.5600 3.5600
```

M_tot: 1.04 μB per cell
ΔE_f: -0.220 eV/atom